Entry 1:
# GGA-PBE Li2CuAgF6, relaxed
data_Li2CuAgF6
_chemical_formula_sum 'Li4 Cu2 Ag2 F12'
_space_group_name_H-M_alt 'P 1 21/c 1'
_space_group_IT_number 14
_space_group_name_Hall '-P 2ybc'
_cell_length_a 5.2736
_cell_length_b 5.5258
_cell_length_c 9.3858
_cell_angle_alpha 90.00
_cell_angle_beta 118.74
_cell_angle_gamma 90.00
loop_
_atom_site_label
_atom_site_type_symbol
_atom_site_fract_x
_atom_site_fract_y
_atom_site_fract_z
Li1 Li 0.2185 0.0422 0.2132
Cu1 Cu 0.5000 0.0000 0.0000
Ag1 Ag 0.0000 0.0000 0.5000
F1 F 0.1579 0.6777 0.8571
F2 F 0.1667 0.1579 0.9816
F3 F 0.4760 0.1588 0.8133
# Calculated volume   240 Å³ per cell
# Crystal system   monoclinic
# Density   4.14 g/cm³
# Uncorrected energy   -83.19 eV/cell
# Total magnetization   0.0 μB per formula unit

***

Entry 2:
# GGA-PBE Tb3Er3CuRu2, relaxed
data_Tb3Er3CuRu2
_chemical_formula_sum 'Tb3 Er3 Cu1 Ru2'
_space_group_name_H-M_alt 'P -6 2 m'
_space_group_IT_number 189
_space_group_name_Hall 'P -6 -2'
_cell_length_a 7.2158
_cell_length_b 7.2158
_cell_length_c 4.8121
_cell_angle_alpha 90.00
_cell_angle_beta 90.00
_cell_angle_gamma 120.00
loop_
_atom_site_label
_atom_site_type_symbol
_atom_site_fract_x
_atom_site_fract_y
_atom_site_fract_z
Tb1 Tb 0.0000 0.2691 0.0000
Er1 Er 0.0000 0.5860 0.5000
Cu1 Cu 0.0000 0.0000 0.5000
Ru1 Ru 0.3333 0.6667 0.0000
# Calculated volume   217 Å³ per cell
# Crystal system   hexagonal
# Calculated formation energy   -0.2043 eV per atom
# Density   9.52 g/cm³
# Uncorrected energy   -52.07 eV/cell
# Total magnetization   0.0 μB per formula unit

***

Entry 3:
# GGA-PBE Y2Si7Rh12, relaxed
data_Y2Si7Rh12
_chemical_formula_sum 'Y2 Si7 Rh12'
_space_group_name_H-M_alt 'P -3'
_space_group_IT_number 147
_space_group_name_Hall '-P 3'
_cell_length_a 9.7352
_cell_length_b 9.7352
_cell_length_c 3.8562
_cell_angle_alpha 90.00
_cell_angle_beta 90.00
_cell_angle_gamma 120.00
loop_
_atom_site_label
_atom_site_type_symbol
_atom_site_fract_x
_atom_site_fract_y
_atom_site_fract_z
Y1 Y 0.3333 0.6667 0.2493
Si1 Si 0.0000 0.0000 0.0000
Si2 Si 0.1108 0.4005 0.7491
Rh1 Rh 0.0631 0.6192 0.7484
Rh2 Rh 0.1188 0.8567 0.2451
# Calculated volume   317 Å³ per cell
# Crystal system   trigonal
# Density   8.44 g/cm³
# Uncorrected energy   -159.43 eV/cell
# Total magnetization   0.0 μB per formula unit

***

Entry 4:
# GGA-PBE Gd2BeZn, relaxed
data_Gd2BeZn
_chemical_formula_sum 'Gd8 Be4 Zn4'
_space_group_name_H-M_alt 'F m -3 m'
_space_group_IT_number 225
_space_group_name_Hall '-F 4 2 3'
_cell_length_a 7.0585
_cell_length_b 7.0585
_cell_length_c 7.0585
_cell_angle_alpha 90.00
_cell_angle_beta 90.00
_cell_angle_gamma 90.00
loop_
_atom_site_label
_atom_site_type_symbol
_atom_site_fract_x
_atom_site_fract_y
_atom_site_fract_z
Gd1 Gd 0.2500 0.2500 0.2500
Be1 Be 0.0000 0.0000 0.0000
Zn1 Zn 0.0000 0.0000 0.5000
# Calculated volume   352 Å³ per cell
# Crystal system   cubic
# Calculated formation energy   -0.1012 eV per atom
# Density   7.35 g/cm³
# Uncorrected energy   -134.27 eV/cell
# Total magnetization   14.8 μB per formula unit

***

Entry 5:
# GGA-PBE Li2CaGa2Sn2, relaxed
data_Li2CaGa2Sn2
_chemical_formula_sum 'Li6 Ca3 Ga6 Sn6'
_space_group_name_H-M_alt 'R -3 m'
_space_group_IT_number 166
_space_group_name_Hall '-R 3 2"'
_cell_length_a 4.5148
_cell_length_b 4.5148
_cell_length_c 26.1472
_cell_angle_alpha 90.00
_cell_angle_beta 90.00
_cell_angle_gamma 120.00
loop_
_atom_site_label
_atom_site_type_symbol
_atom_site_fract_x
_atom_site_fract_y
_atom_site_fract_z
Li1 Li 0.0000 0.0000 0.1433
Ca1 Ca 0.0000 0.0000 0.0000
Ga1 Ga 0.0000 0.0000 0.4497
Sn1 Sn 0.0000 0.0000 0.2577
# Calculated volume   462 Å³ per cell
# Crystal system   trigonal
# Calculated formation energy   -0.3949 eV per atom
# Density   4.65 g/cm³
# Uncorrected energy   -67.96 eV/cell
# Total magnetization   0.0 μB per formula unit

***

Entry 6:
# GGA-PBE Rb2YNbN, relaxed
data_Rb2YNbN
_chemical_formula_sum 'Rb2 Y1 Nb1 N1'
_space_group_name_H-M_alt 'P 4/m m m'
_space_group_IT_number 123
_space_group_name_Hall '-P 4 2'
_cell_length_a 7.5355
_cell_length_b 7.5355
_cell_length_c 4.1461
_cell_angle_alpha 90.00
_cell_angle_beta 90.00
_cell_angle_gamma 90.00
loop_
_atom_site_label
_atom_site_type_symbol
_atom_site_fract_x
_atom_site_fract_y
_atom_site_fract_z
Rb1 Rb 0.0000 0.5000 0.0000
Y1 Y 0.0000 0.0000 0.0000
Nb1 Nb 0.5000 0.5000 0.5000
N1 N 0.0000 0.0000 0.5000
# Calculated volume   235 Å³ per cell
# Crystal system   tetragonal
# Density   2.59 g/cm³
# Uncorrected energy   -20.80 eV/cell
# Total magnetization   4.5 μB per formula unit